<1>
First-principles (PBE-GGA) data for a relaxed Si2AgPW crystal, as listed in Alexandria.

Its mass density is 6.0 g cm⁻³.

a b c (Å): 4.6757 4.6757 4.7835
angles (deg): 90.00 90.00 90.00
Atoms (fractional coordinates):
Si 0.0000 0.5000 0.0000
Si 0.5000 0.0000 0.0000
Ag 0.0000 0.0000 0.0000
P 0.0000 0.0000 0.5000
W 0.5000 0.5000 0.5000



<2>
First-principles (PBE-GGA) data for a relaxed Si2AgPW crystal, as listed in Alexandria.

Its mass density is 5.5 g cm⁻³.

a b c (Å): 4.6931 4.6931 5.2239
angles (deg): 90.00 90.00 90.00
Atoms (fractional coordinates):
Si 0.0000 0.5000 0.0000
Si 0.5000 0.0000 0.0000
Ag 0.0000 0.0000 0.5000
P 0.5000 0.5000 0.5000
W 0.0000 0.0000 0.0000



Which of them is most stable? Easy: <2>.



<1>
First-principles (PBE-GGA) data for a relaxed Ag3SnP crystal, as listed in Alexandria.

Its mass density is 5.7 g cm⁻³.

a b c (Å): 5.1708 5.1708 5.1708
angles (deg): 90.00 90.00 90.00
Atoms (fractional coordinates):
Ag 0.0000 0.0000 0.5000
Ag 0.0000 0.5000 0.0000
Ag 0.5000 0.0000 0.0000
Sn 0.0000 0.0000 0.0000
P 0.5000 0.5000 0.5000



<2>
First-principles (PBE-GGA) data for a relaxed Ag3SnP crystal, as listed in Alexandria.

Its mass density is 6.9 g cm⁻³.

a b c (Å): 4.8455 4.8455 4.8455
angles (deg): 90.00 90.00 90.00
Atoms (fractional coordinates):
Ag 0.0000 0.0000 0.5000
Ag 0.0000 0.5000 0.0000
Ag 0.5000 0.0000 0.0000
Sn 0.5000 0.5000 0.5000
P 0.0000 0.0000 0.0000



Which of them is most stable? Easy: <2>.



<1>
First-principles (PBE-GGA) data for a relaxed Ag2Sn2P crystal, as listed in Alexandria.

Its mass density is 7.3 g cm⁻³.

a b c (Å): 8.4574 8.4574 3.0984
angles (deg): 90.00 90.00 90.00
Atoms (fractional coordinates):
Ag 0.1130 0.3870 0.0000
Ag 0.3870 0.8870 0.0000
Ag 0.6130 0.1130 0.0000
Ag 0.8870 0.6130 0.0000
Sn 0.1890 0.6890 0.5000
Sn 0.3110 0.1890 0.5000
Sn 0.6890 0.8110 0.5000
Sn 0.8110 0.3110 0.5000
P 0.0000 0.0000 0.5000
P 0.5000 0.5000 0.5000



<2>
First-principles (PBE-GGA) data for a relaxed Ag2Sn2P crystal, as listed in Alexandria.

Its mass density is 7.3 g cm⁻³.

a b c (Å): 7.0945 7.0945 4.3735
angles (deg): 90.00 90.00 90.00
Atoms (fractional coordinates):
Ag 0.1400 0.3600 0.0000
Ag 0.3600 0.8600 0.0000
Ag 0.6400 0.1400 0.0000
Ag 0.8600 0.6400 0.0000
Sn 0.1684 0.6684 0.5000
Sn 0.3316 0.1684 0.5000
Sn 0.6684 0.8316 0.5000
Sn 0.8316 0.3316 0.5000
P 0.0000 0.0000 0.0000
P 0.5000 0.5000 0.0000



Which of them is most stable? Easy: <2>.



<1>
First-principles (PBE-GGA) data for a relaxed AgSn2P2 crystal, as listed in Alexandria.

Its mass density is 6.3 g cm⁻³.

a b c (Å): 7.5202 7.5202 3.7805
angles (deg): 90.00 90.00 90.00
Atoms (fractional coordinates):
Ag 0.0000 0.0000 0.0000
Ag 0.5000 0.5000 0.0000
Sn 0.1541 0.3459 0.5000
Sn 0.3459 0.8459 0.5000
Sn 0.6541 0.1541 0.5000
Sn 0.8459 0.6541 0.5000
P 0.1639 0.6639 0.0000
P 0.3361 0.1639 0.0000
P 0.6639 0.8361 0.0000
P 0.8361 0.3361 0.0000



<2>
First-principles (PBE-GGA) data for a relaxed AgSn2P2 crystal, as listed in Alexandria.

Its mass density is 6.4 g cm⁻³.

a b c (Å): 9.5820 9.5820 9.5820
angles (deg): 159.72 159.72 28.84
Atoms (fractional coordinates):
Ag 0.0000 0.0000 0.0000
Sn 0.3951 0.3951 0.0000
Sn 0.6049 0.6049 0.0000
P 0.2500 0.7500 0.5000
P 0.7500 0.2500 0.5000



Which of them is most stable? Easy: <2>.



<1>
First-principles (PBE-GGA) data for a relaxed AgSnP crystal, as listed in Alexandria.

Its mass density is 6.8 g cm⁻³.

a b c (Å): 5.1161 5.1161 5.1161
angles (deg): 136.30 136.30 63.51
Atoms (fractional coordinates):
Ag 0.0000 0.0000 0.0000
Sn 0.6764 0.6764 0.0000
P 0.3039 0.3039 0.0000



<2>
First-principles (PBE-GGA) data for a relaxed AgSnP crystal, as listed in Alexandria.

Its mass density is 6.6 g cm⁻³.

a b c (Å): 3.8776 3.8776 4.9402
angles (deg): 90.00 90.00 120.00
Atoms (fractional coordinates):
Ag 0.0000 0.0000 0.0000
Sn 0.6667 0.3333 0.4041
P 0.3333 0.6667 0.6986



<3>
First-principles (PBE-GGA) data for a relaxed AgSnP crystal, as listed in Alexandria.

Its mass density is 5.2 g cm⁻³.

a b c (Å): 6.6850 6.6850 7.0358
angles (deg): 111.11 111.11 34.30
Atoms (fractional coordinates):
Ag 0.0623 0.0623 0.3759
Ag 0.9377 0.9377 0.6241
Sn 0.2120 0.2120 0.1907
Sn 0.7880 0.7880 0.8093
P 0.1524 0.1524 0.7831
P 0.8476 0.8476 0.2169



Which of them is most stable? Easy: <3>.



<1>
First-principles (PBE-GGA) data for a relaxed SrAgSnP2 crystal, as listed in Alexandria.

Its mass density is 3.9 g cm⁻³.

a b c (Å): 5.0340 5.0340 6.3332
angles (deg): 90.00 90.00 90.00
Atoms (fractional coordinates):
Sr 0.0000 0.0000 0.0000
Ag 0.5000 0.5000 0.0000
Sn 0.0000 0.0000 0.5000
P 0.0000 0.5000 0.5000
P 0.5000 0.0000 0.5000



<2>
First-principles (PBE-GGA) data for a relaxed SrAgSnP2 crystal, as listed in Alexandria.

Its mass density is 4.7 g cm⁻³.

a b c (Å): 6.9766 6.9766 8.4950
angles (deg): 102.42 102.42 41.38
Atoms (fractional coordinates):
Sr 0.1523 0.1523 0.2114
Sr 0.8477 0.8477 0.7886
Ag 0.1730 0.1730 0.5996
Ag 0.8270 0.8270 0.4004
Sn 0.4412 0.4412 0.2742
Sn 0.5588 0.5588 0.7258
P 0.0979 0.0979 0.8459
P 0.3648 0.3648 0.5534
P 0.6352 0.6352 0.4466
P 0.9021 0.9021 0.1541



Which of them is most stable? Easy: <2>.